Entry 1:
# Na4Ir3PtSe8

Crystalline Na4Ir3PtSe8 at its relaxed geometry (GGA-PBE, Alexandria).

Summary:
E_form (uncorrected): -0.569 eV per atom
Magnetization: 0.0000 μB/atom

abc: 7.726 7.979 7.726
angles: 118.95 120.00 90.00
Sites, in units of the cell vectors:
Na (0.500, 0.000, 0.000)
Na (0.500, 0.000, 0.500)
Na (0.000, 0.000, 0.000)
Na (0.000, 0.000, 0.500)
Ir (0.500, 0.500, 0.000)
Ir (0.500, 0.500, 0.500)
Ir (0.000, 0.500, 0.500)
Pt (0.000, 0.500, 0.000)
Se (0.233, 0.688, 0.955)
Se (0.233, 0.688, 0.466)
Se (0.271, 0.314, 0.543)
Se (0.722, 0.688, 0.955)
Se (0.278, 0.312, 0.045)
Se (0.729, 0.686, 0.457)
Se (0.767, 0.312, 0.534)
Se (0.767, 0.312, 0.045)



Entry 2:
# Na2IrPt2Se6

Crystalline Na2IrPt2Se6 at its relaxed geometry (GGA-PBE, Alexandria).

Summary:
E_form (uncorrected): -0.521 eV per atom
Magnetization: 0.0000 μB/atom

abc: 6.605 6.605 7.200
angles: 99.18 99.18 119.58
Sites, in units of the cell vectors:
Na (0.832, 0.168, 0.000)
Na (0.168, 0.832, 0.000)
Ir (0.000, 0.000, 0.500)
Pt (0.332, 0.668, 0.500)
Pt (0.668, 0.332, 0.500)
Se (0.736, 0.736, 0.687)
Se (0.061, 0.391, 0.688)
Se (0.264, 0.264, 0.313)
Se (0.391, 0.061, 0.688)
Se (0.939, 0.609, 0.312)
Se (0.609, 0.939, 0.312)



Entry 3:
# Na2Sn4IrPt3

Crystalline Na2Sn4IrPt3 at its relaxed geometry (GGA-PBE, Alexandria).

Summary:
Magnetization: 0.0000 μB/atom
Energy of formation: -0.385 eV/atom

abc: 4.434 4.434 11.332
angles: 90.00 90.00 90.00
Sites, in units of the cell vectors:
Na (0.500, 0.000, 0.257)
Na (0.000, 0.500, 0.743)
Sn (0.500, 0.500, 0.000)
Sn (0.000, 0.000, 0.000)
Sn (0.500, 0.000, 0.632)
Sn (0.000, 0.500, 0.368)
Ir (0.500, 0.500, 0.500)
Pt (0.000, 0.000, 0.500)
Pt (0.500, 0.000, 0.865)
Pt (0.000, 0.500, 0.135)



Entry 4:
# NaTeIr2Pt

Crystalline NaTeIr2Pt at its relaxed geometry (GGA-PBE, Alexandria).

Summary:
E_form (uncorrected): 1.014 eV per atom
Magnetization: 0.0001 μB/atom

abc: 4.904 5.029 4.904
angles: 90.00 90.00 90.00
Sites, in units of the cell vectors:
Na (0.500, 0.500, 0.500)
Ir (0.000, 0.000, 0.500)
Ir (0.500, 0.000, 0.000)
Te (0.000, 0.000, 0.000)
Pt (0.000, 0.500, 0.000)



Entry 5:
# Na2TeIrPt

Crystalline Na2TeIrPt at its relaxed geometry (GGA-PBE, Alexandria).

Summary:
E_form (uncorrected): 0.941 eV per atom
Magnetization: 0.5206 μB/atom

abc: 5.827 4.900 5.827
angles: 90.00 90.00 90.00
Sites, in units of the cell vectors:
Na (0.000, 0.000, 0.500)
Na (0.500, 0.000, 0.000)
Ir (0.500, 0.500, 0.500)
Te (0.000, 0.000, 0.000)
Pt (0.000, 0.500, 0.000)



Entry 6:
# NaIrPtW2

Crystalline NaIrPtW2 at its relaxed geometry (GGA-PBE, Alexandria).

Summary:
Magnetization: 0.0000 μB/atom
Energy of formation: 2.602 eV/atom

abc: 4.425 4.425 4.411
angles: 90.00 90.00 90.00
Sites, in units of the cell vectors:
Na (0.000, 0.000, 0.000)
Ir (0.000, 0.000, 0.500)
W (0.000, 0.500, 0.000)
W (0.500, 0.000, 0.000)
Pt (0.500, 0.500, 0.500)



Entry 7:
# NaYIrPt2

Crystalline NaYIrPt2 at its relaxed geometry (GGA-PBE, Alexandria).

Summary:
Magnetization: 0.1155 μB/atom
Energy of formation: 1.409 eV/atom

abc: 4.945 4.938 4.945
angles: 90.00 90.00 90.00
Sites, in units of the cell vectors:
Y (0.000, 0.000, 0.000)
Na (0.000, 0.500, 0.000)
Ir (0.500, 0.500, 0.500)
Pt (0.000, 0.000, 0.500)
Pt (0.500, 0.000, 0.000)



Entry 8:
# NaPuIr4

Crystalline NaPuIr4 at its relaxed geometry (GGA-PBE, Alexandria).

Summary:
Magnetization: 0.5768 μB/atom
Energy of formation: -0.256 eV/atom

abc: 5.309 5.309 5.309
angles: 60.00 60.00 60.00
Sites, in units of the cell vectors:
Na (0.000, 0.000, 0.000)
Ir (0.625, 0.625, 0.124)
Ir (0.625, 0.124, 0.625)
Ir (0.625, 0.625, 0.625)
Ir (0.124, 0.625, 0.625)
Pu (0.250, 0.250, 0.250)